# CrO2F2

CrO2F2 after structural relaxation (GGA+U, the Alexandria database).

Cell lengths 3.489, 3.489, 4.549 Å; angles 90.00, 90.00, 90.00 degrees
Element x y z (fractional)
1 Cr 0.000 0.000 0.000
2 O 0.000 0.500 0.500
3 O 0.500 0.000 0.500
4 F 0.500 0.500 0.000
5 F 0.500 0.500 0.500

Results
SG = P4/mmm
Calculated total energy = -3.6898 eV per atom